Entry 1:
The following is a DFT calculation (PBE) of crystalline Ti3Ga3Co2Tc at its relaxed geometry.

Structure (CIF):
```
data_Ti3Ga3Co2Tc
_cell_length_a 2.982
_cell_length_b 7.113
_cell_length_c 7.113
_cell_angle_alpha 120.00
_cell_angle_beta 90.00
_cell_angle_gamma 90.00
_space_group_name_H-M_alt 'P 1'
_space_group_IT_number 1
_space_group_name_Hall 'P 1'
loop_
_atom_site_label
_atom_site_fract_x
_atom_site_fract_y
_atom_site_fract_z
Co1 0.500 0.333 0.667
Co2 0.500 0.667 0.333
Ti1 0.500 0.293 0.293
Ti2 0.500 0.000 0.707
Ti3 0.500 0.707 0.000
Ga1 0.000 0.000 0.376
Ga2 0.000 0.376 0.000
Ga3 0.000 0.624 0.624
Tc1 0.000 0.000 0.000
```

- DFT total energy: -6.733 eV/atom
- D(E_F): 4.61 states/eV per cell
- V: 14.52 Å³ per atom

Entry 2:
The following is a DFT calculation (PBE) of crystalline UGaCoTc at its relaxed geometry.

Structure (CIF):
```
data_UGaCoTc
_cell_length_a 4.548
_cell_length_b 4.548
_cell_length_c 4.594
_cell_angle_alpha 60.33
_cell_angle_beta 60.33
_cell_angle_gamma 60.00
_space_group_name_H-M_alt 'P 1'
_space_group_IT_number 1
_space_group_name_Hall 'P 1'
loop_
_atom_site_label
_atom_site_fract_x
_atom_site_fract_y
_atom_site_fract_z
Ga1 0.448 0.448 0.656
U1 0.944 0.944 0.168
Co1 0.149 0.149 0.554
Tc1 0.735 0.735 0.794
```

- DFT total energy: -8.113 eV/atom
- D(E_F): 4.82 states/eV per cell
- V: 16.88 Å³ per atom

Entry 3:
The following is a DFT calculation (PBE) of crystalline GaCoTcW at its relaxed geometry.

Structure (CIF):
```
data_GaCoTcW
_cell_length_a 4.290
_cell_length_b 4.290
_cell_length_c 4.290
_cell_angle_alpha 60.00
_cell_angle_beta 60.00
_cell_angle_gamma 60.00
_space_group_name_H-M_alt 'P 1'
_space_group_IT_number 1
_space_group_name_Hall 'P 1'
loop_
_atom_site_label
_atom_site_fract_x
_atom_site_fract_y
_atom_site_fract_z
Tc1 0.500 0.500 0.500
Co1 0.000 0.000 0.000
Ga1 0.250 0.250 0.250
W1 0.750 0.750 0.750
```

- DFT total energy: -8.416 eV/atom
- D(E_F): 2.51 states/eV per cell
- V: 13.96 Å³ per atom